KFe3Bi5 PBE-GGA optimized geometry; uncorrected energy = -0.1864 Ha/atom; symmetry = P6/mmm (191)
1.0
5.5898 0.0000 0.0000
-2.7949 4.8409 0.0000
0.0000 0.0000 9.0558
K Fe Bi
1 3 5
Direct
0.0000 0.0000 0.0000
0.0000 0.5000 0.5000
0.5000 0.0000 0.5000
0.5000 0.5000 0.5000
0.0000 0.0000 0.5000
0.3333 0.6667 0.2414
0.3333 0.6667 0.7586
0.6667 0.3333 0.2414
0.6667 0.3333 0.7586

---

KFeBiSe3 PBE-GGA optimized geometry; uncorrected energy = -0.1656 Ha/atom; symmetry = Cmcm (63)
1.0
2.1069 -7.3035 0.0000
2.1069 7.3035 0.0000
0.0000 0.0000 11.4101
K Fe Bi Se
2 2 2 6
Direct
0.2417 0.7583 0.7500
0.7583 0.2417 0.2500
0.0385 0.9615 0.2500
0.9615 0.0385 0.7500
0.5000 0.5000 0.0000
0.5000 0.5000 0.5000
0.1310 0.8690 0.0712
0.1310 0.8690 0.4288
0.4424 0.5576 0.2500
0.5576 0.4424 0.7500
0.8690 0.1310 0.5712
0.8690 0.1310 0.9288

---

KFeBiTe3 PBE-GGA optimized geometry; uncorrected energy = -0.1515 Ha/atom; symmetry = Cmcm (63)
1.0
2.2427 -7.6648 0.0000
2.2427 7.6648 0.0000
0.0000 0.0000 12.0900
K Fe Bi Te
2 2 2 6
Direct
0.2439 0.7561 0.7500
0.7561 0.2439 0.2500
0.0403 0.9597 0.2500
0.9597 0.0403 0.7500
0.5000 0.5000 0.0000
0.5000 0.5000 0.5000
0.1349 0.8651 0.0677
0.1349 0.8651 0.4323
0.4390 0.5610 0.2500
0.5610 0.4390 0.7500
0.8651 0.1349 0.5677
0.8651 0.1349 0.9323

---

La3FeBi PBE-GGA optimized geometry; uncorrected energy = -0.2158 Ha/atom; symmetry = R3m (160)
1.0
3.7267 2.1516 3.0637
-3.7267 2.1516 3.0637
0.0000 -4.3033 3.0637
La Fe Bi
3 1 1
Direct
0.0013 0.4993 0.4993
0.4993 0.0013 0.4993
0.4993 0.4993 0.0013
0.4779 0.4779 0.4779
0.9966 0.9966 0.9966

---

LaMgFeBi PBE-GGA optimized geometry; uncorrected energy = -0.1701 Ha/atom; symmetry = F-43m (216); energy relative to the lowest polymorph listed for this composition = 0.00 eV/f.u.
1.0
0.0000 3.6857 3.6857
3.6857 0.0000 3.6857
3.6857 3.6857 0.0000
La Mg Fe Bi
1 1 1 1
Direct
0.0000 0.0000 0.0000
0.5000 0.5000 0.5000
0.2500 0.2500 0.2500
0.7500 0.7500 0.7500

---

LaMgFeBi PBE-GGA optimized geometry; uncorrected energy = -0.1681 Ha/atom; symmetry = F-43m (216); energy relative to the lowest polymorph listed for this composition = 0.21 eV/f.u.
1.0
0.0000 3.6739 3.6739
3.6739 0.0000 3.6739
3.6739 3.6739 0.0000
La Mg Fe Bi
1 1 1 1
Direct
0.0000 0.0000 0.0000
0.7500 0.7500 0.7500
0.5000 0.5000 0.5000
0.2500 0.2500 0.2500

---

LaMgFeBi PBE-GGA optimized geometry; uncorrected energy = -0.1693 Ha/atom; symmetry = F-43m (216); energy relative to the lowest polymorph listed for this composition = 0.08 eV/f.u.
1.0
0.0000 3.5823 3.5823
3.5823 0.0000 3.5823
3.5823 3.5823 0.0000
La Mg Fe Bi
1 1 1 1
Direct
0.0000 0.0000 0.0000
0.7500 0.7500 0.7500
0.2500 0.2500 0.2500
0.5000 0.5000 0.5000

---

LaNdFe2Bi4 PBE-GGA optimized geometry; uncorrected energy = -0.2068 Ha/atom; symmetry = P4mm (99)
1.0
4.5244 0.0000 0.0000
0.0000 4.5244 0.0000
0.0000 0.0000 10.2665
La Nd Fe Bi
1 1 2 4
Direct
0.0000 0.0000 0.0000
0.5000 0.5000 0.5149
0.0000 0.5000 0.7552
0.5000 0.0000 0.7552
0.0000 0.0000 0.5999
0.0000 0.5000 0.2604
0.5000 0.0000 0.2604
0.5000 0.5000 0.9103

---

LiFe2Bi PBE-GGA optimized geometry; uncorrected energy = -0.1917 Ha/atom; symmetry = Pm-3m (221)
1.0
6.3748 0.0000 0.0000
0.0000 6.3748 0.0000
0.0000 0.0000 6.3748
Li Fe Bi
4 8 4
Direct
0.0000 0.0000 0.0000
0.0000 0.0000 0.5000
0.0000 0.5000 0.0000
0.5000 0.0000 0.0000
0.2029 0.2029 0.2029
0.2029 0.2029 0.7971
0.2029 0.7971 0.2029
0.2029 0.7971 0.7971
0.7971 0.2029 0.2029
0.7971 0.2029 0.7971
0.7971 0.7971 0.2029
0.7971 0.7971 0.7971
0.0000 0.5000 0.5000
0.5000 0.0000 0.5000
0.5000 0.5000 0.0000
0.5000 0.5000 0.5000

---

LiFe2Bi PBE-GGA optimized geometry; uncorrected energy = -0.1917 Ha/atom; symmetry = Pm-3m (221)
1.0
6.3748 0.0000 0.0000
0.0000 6.3748 0.0000
0.0000 0.0000 6.3748
Li Fe Bi
4 8 4
Direct
0.0000 0.0000 0.0000
0.0000 0.0000 0.5000
0.0000 0.5000 0.0000
0.5000 0.0000 0.0000
0.2029 0.2029 0.2029
0.2029 0.2029 0.7971
0.2029 0.7971 0.2029
0.2029 0.7971 0.7971
0.7971 0.2029 0.2029
0.7971 0.2029 0.7971
0.7971 0.7971 0.2029
0.7971 0.7971 0.7971
0.0000 0.5000 0.5000
0.5000 0.0000 0.5000
0.5000 0.5000 0.0000
0.5000 0.5000 0.5000

---

LiFe2Bi PBE-GGA optimized geometry; uncorrected energy = -0.1999 Ha/atom; symmetry = F-43m (216)
1.0
0.0000 3.0935 3.0935
3.0935 0.0000 3.0935
3.0935 3.0935 0.0000
Li Fe Bi
1 2 1
Direct
0.0000 0.0000 0.0000
0.2500 0.2500 0.2500
0.5000 0.5000 0.5000
0.7500 0.7500 0.7500

---

LiFeBi2 PBE-GGA optimized geometry; uncorrected energy = -0.1509 Ha/atom; symmetry = F-43m (216)
1.0
0.0000 3.5294 3.5294
3.5294 0.0000 3.5294
3.5294 3.5294 0.0000
Li Fe Bi
1 1 2
Direct
0.0000 0.0000 0.0000
0.2500 0.2500 0.2500
0.5000 0.5000 0.5000
0.7500 0.7500 0.7500